(1)
A geometry-optimized Tl2PdPbF6 structure, computed with PBE-GGA.

```
data_Tl2PdPbF6
_cell_length_a 6.309
_cell_length_b 5.210
_cell_length_c 12.345
_cell_angle_alpha 90.00
_cell_angle_beta 91.87
_cell_angle_gamma 90.00
_symmetry_space_group_name_H-M 'P 1'
_symmetry_Int_Tables_number 1
_symmetry_space_group_name_Hall 'P 1'
loop_
_atom_site_label
_atom_site_type_symbol
_atom_site_fract_x
_atom_site_fract_y
_atom_site_fract_z
Pb1 Pb 0.000 0.500 0.500
Pb2 Pb 0.500 0.000 0.000
F1 F 0.213 0.271 0.077
F2 F 0.787 0.729 0.923
F3 F 0.927 0.350 0.318
F4 F 0.073 0.650 0.682
F5 F 0.287 0.771 0.423
F6 F 0.734 0.810 0.429
F7 F 0.266 0.190 0.571
F8 F 0.573 0.850 0.182
F9 F 0.713 0.229 0.577
F10 F 0.766 0.310 0.071
F11 F 0.427 0.150 0.818
F12 F 0.234 0.690 0.929
Tl1 Tl 0.515 0.423 0.276
Tl2 Tl 0.485 0.577 0.724
Tl3 Tl 0.015 0.077 0.776
Tl4 Tl 0.985 0.923 0.224
Pd1 Pd 0.500 0.000 0.500
Pd2 Pd 0.000 0.500 0.000
```

Properties
formation energy (no corrections) = -17.9 eV/f.u.
size of the total moment = 0.00 μB per formula unit



(2)
A geometry-optimized Th3CN structure, computed with PBE-GGA.

```
data_Th3CN
_cell_length_a 3.316
_cell_length_b 6.200
_cell_length_c 6.200
_cell_angle_alpha 60.00
_cell_angle_beta 89.99
_cell_angle_gamma 89.99
_symmetry_space_group_name_H-M 'P 1'
_symmetry_Int_Tables_number 1
_symmetry_space_group_name_Hall 'P 1'
loop_
_atom_site_label
_atom_site_type_symbol
_atom_site_fract_x
_atom_site_fract_y
_atom_site_fract_z
N1 N 0.220 0.099 0.062
Th1 Th 0.720 0.403 0.728
Th2 Th 0.720 0.130 0.365
Th3 Th 0.720 0.766 0.093
C1 C 0.220 0.433 0.395
```

Properties
E above lowest polymorph = 286 meV per atom
D(E_F) = 0.933 states/eV/atom
formation energy (no corrections) = -1.9 eV/f.u.
size of the total moment = 0.00 μB per formula unit



(3)
A geometry-optimized SrZnGaPd2 structure, computed with PBE-GGA.

```
data_SrZnGaPd2
_cell_length_a 4.370
_cell_length_b 4.370
_cell_length_c 6.238
_cell_angle_alpha 110.51
_cell_angle_beta 110.51
_cell_angle_gamma 90.00
_symmetry_space_group_name_H-M 'P 1'
_symmetry_Int_Tables_number 1
_symmetry_space_group_name_Hall 'P 1'
loop_
_atom_site_label
_atom_site_type_symbol
_atom_site_fract_x
_atom_site_fract_y
_atom_site_fract_z
Pd1 Pd 0.626 0.626 0.252
Pd2 Pd 0.374 0.374 0.748
Ga1 Ga 0.250 0.750 0.500
Sr1 Sr 0.000 0.000 0.000
Zn1 Zn 0.750 0.250 0.500
```

Properties
D(E_F) = 0.435 states/eV/atom
energy of formation = -607 meV per atom
size of the total moment = 0.00 μB per formula unit



(4)
A geometry-optimized AcTbPrSm structure, computed with PBE-GGA.

```
data_AcTbPrSm
_cell_length_a 5.266
_cell_length_b 5.273
_cell_length_c 6.462
_cell_angle_alpha 114.08
_cell_angle_beta 114.05
_cell_angle_gamma 90.00
_symmetry_space_group_name_H-M 'P 1'
_symmetry_Int_Tables_number 1
_symmetry_space_group_name_Hall 'P 1'
loop_
_atom_site_label
_atom_site_type_symbol
_atom_site_fract_x
_atom_site_fract_y
_atom_site_fract_z
Pr1 Pr 0.196 0.696 0.391
Sm1 Sm 0.695 0.195 0.391
Ac1 Ac 0.446 0.446 0.891
Tb1 Tb 0.946 0.946 0.891
```

Properties
E above lowest polymorph = 0 meV per atom
D(E_F) = 1.742 states/eV/atom
energy of formation = 45 meV per atom
size of the total moment = 0.00 μB per formula unit



(5)
A geometry-optimized Tm5RuPt2 structure, computed with PBE-GGA.

```
data_Tm5RuPt2
_cell_length_a 4.248
_cell_length_b 7.487
_cell_length_c 11.785
_cell_angle_alpha 90.00
_cell_angle_beta 90.00
_cell_angle_gamma 90.00
_symmetry_space_group_name_H-M 'P 1'
_symmetry_Int_Tables_number 1
_symmetry_space_group_name_Hall 'P 1'
loop_
_atom_site_label
_atom_site_type_symbol
_atom_site_fract_x
_atom_site_fract_y
_atom_site_fract_z
Ru1 Ru 0.000 0.000 0.000
Ru2 Ru 0.000 0.500 0.500
Tm1 Tm 0.000 0.839 0.203
Tm2 Tm 0.000 0.161 0.797
Tm3 Tm 0.500 0.176 0.090
Tm4 Tm 0.500 0.676 0.410
Tm5 Tm 0.500 0.824 0.910
Tm6 Tm 0.000 0.339 0.297
Tm7 Tm 0.500 0.324 0.590
Tm8 Tm 0.000 0.000 0.500
Tm9 Tm 0.000 0.500 0.000
Tm10 Tm 0.000 0.661 0.703
Pt1 Pt 0.500 0.456 0.829
Pt2 Pt 0.500 0.956 0.671
Pt3 Pt 0.500 0.044 0.329
Pt4 Pt 0.500 0.544 0.171
```

Properties
D(E_F) = 0.718 states/eV/atom
energy of formation = -856 meV per atom
size of the total moment = 0.00 μB per formula unit



(6)
A geometry-optimized YCdRu structure, computed with PBE-GGA.

```
data_YCdRu
_cell_length_a 3.433
_cell_length_b 3.433
_cell_length_c 6.572
_cell_angle_alpha 90.00
_cell_angle_beta 90.00
_cell_angle_gamma 120.00
_symmetry_space_group_name_H-M 'P 1'
_symmetry_Int_Tables_number 1
_symmetry_space_group_name_Hall 'P 1'
loop_
_atom_site_label
_atom_site_type_symbol
_atom_site_fract_x
_atom_site_fract_y
_atom_site_fract_z
Y1 Y 0.333 0.667 0.627
Cd1 Cd 0.000 0.000 0.034
Ru1 Ru 0.667 0.333 0.339
```

Properties
D(E_F) = 0.160 states/eV/atom
energy of formation = 119 meV per atom
size of the total moment = 0.00 μB per formula unit



(7)
A geometry-optimized La4Co2I structure, computed with PBE-GGA.

```
data_La4Co2I
_cell_length_a 4.061
_cell_length_b 6.457
_cell_length_c 8.361
_cell_angle_alpha 93.80
_cell_angle_beta 104.05
_cell_angle_gamma 90.00
_symmetry_space_group_name_H-M 'P 1'
_symmetry_Int_Tables_number 1
_symmetry_space_group_name_Hall 'P 1'
loop_
_atom_site_label
_atom_site_type_symbol
_atom_site_fract_x
_atom_site_fract_y
_atom_site_fract_z
La1 La 0.828 0.370 0.655
La2 La 0.628 0.090 0.255
La3 La 0.372 0.910 0.745
La4 La 0.172 0.630 0.345
Co1 Co 0.770 0.832 0.540
Co2 Co 0.230 0.168 0.460
I1 I 0.500 0.500 0.000
```

Properties
D(E_F) = 0.705 states/eV/atom
formation energy (no corrections) = -2.7 eV/f.u.
size of the total moment = 0.00 μB per formula unit



(8)
A geometry-optimized AcCuHgPd structure, computed with PBE-GGA.

```
data_AcCuHgPd
_cell_length_a 5.071
_cell_length_b 5.071
_cell_length_c 5.071
_cell_angle_alpha 60.00
_cell_angle_beta 60.00
_cell_angle_gamma 60.00
_symmetry_space_group_name_H-M 'P 1'
_symmetry_Int_Tables_number 1
_symmetry_space_group_name_Hall 'P 1'
loop_
_atom_site_label
_atom_site_type_symbol
_atom_site_fract_x
_atom_site_fract_y
_atom_site_fract_z
Ac1 Ac 0.000 0.000 0.000
Hg1 Hg 0.500 0.500 0.500
Pd1 Pd 0.750 0.750 0.750
Cu1 Cu 0.250 0.250 0.250
```

Properties
D(E_F) = 0.419 states/eV/atom
energy of formation = -324 meV per atom
size of the total moment = 0.00 μB per formula unit



What did the fifth record say?
A geometry-optimized Tm5RuPt2 structure, computed with PBE-GGA.

```
data_Tm5RuPt2
_cell_length_a 4.248
_cell_length_b 7.487
_cell_length_c 11.785
_cell_angle_alpha 90.00
_cell_angle_beta 90.00
_cell_angle_gamma 90.00
_symmetry_space_group_name_H-M 'P 1'
_symmetry_Int_Tables_number 1
_symmetry_space_group_name_Hall 'P 1'
loop_
_atom_site_label
_atom_site_type_symbol
_atom_site_fract_x
_atom_site_fract_y
_atom_site_fract_z
Ru1 Ru 0.000 0.000 0.000
Ru2 Ru 0.000 0.500 0.500
Tm1 Tm 0.000 0.839 0.203
Tm2 Tm 0.000 0.161 0.797
Tm3 Tm 0.500 0.176 0.090
Tm4 Tm 0.500 0.676 0.410
Tm5 Tm 0.500 0.824 0.910
Tm6 Tm 0.000 0.339 0.297
Tm7 Tm 0.500 0.324 0.590
Tm8 Tm 0.000 0.000 0.500
Tm9 Tm 0.000 0.500 0.000
Tm10 Tm 0.000 0.661 0.703
Pt1 Pt 0.500 0.456 0.829
Pt2 Pt 0.500 0.956 0.671
Pt3 Pt 0.500 0.044 0.329
Pt4 Pt 0.500 0.544 0.171
```

Properties
D(E_F) = 0.718 states/eV/atom
energy of formation = -856 meV per atom
size of the total moment = 0.00 μB per formula unit



What is the size of the total moment in the third record? 0.00 μB per formula unit



Copy entry 6 word for word.
A geometry-optimized YCdRu structure, computed with PBE-GGA.

```
data_YCdRu
_cell_length_a 3.433
_cell_length_b 3.433
_cell_length_c 6.572
_cell_angle_alpha 90.00
_cell_angle_beta 90.00
_cell_angle_gamma 120.00
_symmetry_space_group_name_H-M 'P 1'
_symmetry_Int_Tables_number 1
_symmetry_space_group_name_Hall 'P 1'
loop_
_atom_site_label
_atom_site_type_symbol
_atom_site_fract_x
_atom_site_fract_y
_atom_site_fract_z
Y1 Y 0.333 0.667 0.627
Cd1 Cd 0.000 0.000 0.034
Ru1 Ru 0.667 0.333 0.339
```

Properties
D(E_F) = 0.160 states/eV/atom
energy of formation = 119 meV per atom
size of the total moment = 0.00 μB per formula unit